[1]
DFT (PBE) results for FePdBr4 after structural relaxation.

a b c (Å): 6.350 6.350 6.350
angles (deg): 107.93 107.93 112.61
Sites, in units of the cell vectors:
Fe: 0.000 0.000 0.000
Pd: 0.750 0.250 0.500
Br: 0.006 0.361 0.951
Br: 0.409 0.054 0.049
Br: 0.639 0.591 0.645
Br: 0.946 0.994 0.355

Summary:
Formation energy from raw total energies   -0.354 eV per atom
Volume   196.7 Å³/f.u.
Calculated total energy   -22.47 eV per cell

[2]
DFT (PBE) results for CrPt3N after structural relaxation.

a b c (Å): 4.187 4.187 4.187
angles (deg): 90.00 90.00 90.00
Sites, in units of the cell vectors:
Cr: 0.000 0.000 0.000
Pt: 0.000 0.500 0.500
Pt: 0.500 0.000 0.500
Pt: 0.500 0.500 0.000
N: 0.500 0.500 0.500

Summary:
Formation energy from raw total energies   0.505 eV per atom
Volume   73.4 Å³/f.u.
Calculated total energy   -33.55 eV per cell